[1]
Compound: KMn2Tl
Source: Alexandria
Functional: PBE-GGA
Structure: optimized geometry

Calculated values
For the energy relative to the elements, the calculation gives 0.906 eV per atom. Its energy relative to the lowest polymorph listed for this composition is 334 meV per atom. The space group is Pmmm.

a b c (Å): 3.275 5.437 5.481
angles (deg): 90.00 90.00 90.00
Positions (direct):
K: 0.000 0.000 0.000
Mn: 0.000 0.500 0.500
Mn: 0.500 0.500 0.000
Tl: 0.500 0.000 0.500



[2]
Compound: Pu3ThAs4
Source: Alexandria
Functional: PBE-GGA
Structure: optimized geometry

Calculated values
For the energy relative to the elements, the calculation gives -1.130 eV per atom. The space group is Pm-3m.

a b c (Å): 5.921 5.921 5.921
angles (deg): 90.00 90.00 90.00
Positions (direct):
Pu: 0.000 0.000 0.500
Pu: 0.000 0.500 0.000
Pu: 0.500 0.000 0.000
Th: 0.500 0.500 0.500
As: 0.000 0.000 0.000
As: 0.000 0.500 0.500
As: 0.500 0.000 0.500
As: 0.500 0.500 0.000



[3]
Compound: BaMnI2N
Source: Alexandria
Functional: PBE-GGA
Structure: optimized geometry

Calculated values
Its energy relative to the lowest polymorph listed for this composition is 0 meV per atom. The space group is P4/mmm.

a b c (Å): 6.110 6.110 3.774
angles (deg): 90.00 90.00 90.00
Positions (direct):
Ba: 0.000 0.000 0.000
Mn: 0.500 0.500 0.500
I: 0.000 0.500 0.500
I: 0.500 0.000 0.500
N: 0.500 0.500 0.000



no.,total magnetization (μB per cell),raw total energy (Ha/atom)
1,8.1,-0.167
2,15.8,-0.359
3,3.4,-0.182